Computed, not measured: an optimized crystal structure of SrLiBi2 at the PBE-GGA level of DFT. Values from VASP.

## Properties
Space-group type   P4/mmm
Calculated density   7.134 g/cm³
ΔE_f   -0.515 eV per atom

```
&SYSTEM
  ibrav = 0, nat = 4, ntyp = 3
/
ATOMIC_SPECIES
Sr 87.62 Sr.upf
Bi 208.98 Bi.upf
Li 6.94 Li.upf
ATOMIC_POSITIONS angstrom
Sr 1.814 1.814 4.534
Bi 0.000 0.000 7.038
Bi 0.000 0.000 2.030
Li 1.814 1.814 0.000
CELL_PARAMETERS angstrom
3.627 0.000 0.000
0.000 3.627 0.000
0.000 0.000 9.068
```

***

Computed, not measured: an optimized crystal structure of Cs3Np2RhSe6 at the PBE-GGA level of DFT. Values from VASP.

## Properties
E_form (uncorrected)   -0.978 eV per atom
Space-group type   C2/m
Calculated density   6.447 g/cm³

```
&SYSTEM
  ibrav = 0, nat = 12, ntyp = 4
/
ATOMIC_SPECIES
Cs 132.91 Cs.upf
Np 237.00 Np.upf
Rh 102.91 Rh.upf
Se 78.96 Se.upf
ATOMIC_POSITIONS angstrom
Cs -2.367 4.128 4.171
Cs 4.759 0.013 4.171
Cs 1.196 2.071 4.171
Np 0.002 4.146 -0.003
Np 3.590 2.074 -0.003
Rh 0.000 0.000 0.000
Se 3.518 2.194 6.862
Se 2.467 4.272 1.494
Se -1.126 1.948 1.481
Se 0.142 4.143 6.862
Se -0.075 -0.130 6.849
Se 2.250 -0.002 1.481
CELL_PARAMETERS angstrom
7.188 -0.004 -0.003
-3.596 6.224 -0.003
-1.201 -2.079 8.348
```

***

calculated density of number 1 (SrLiBi2)?
7.134 g/cm³

***

What is the calculated density in the second record?
6.447 g/cm³

***

Which formula does entry 2 have?
Cs3Np2RhSe6